## NdY6Al2 (GGA-PBE)

Data for a geometry-optimized NdY6Al2 structure.

Results
As for the density of states at the Fermi level: 11.9 states/eV per cell. The energy comes out at -52.6 eV for the cell shown.

Cell lengths 3.706, 6.571, 11.719 Å; angles 75.11, 80.90, 73.62 degrees
Sites, in units of the cell vectors:
Nd (0.000, 0.000, 0.000)
Y (0.690, 0.494, 0.126)
Y (0.310, 0.506, 0.874)
Y (0.310, 0.794, 0.587)
Y (0.980, 0.708, 0.332)
Y (0.020, 0.292, 0.668)
Y (0.690, 0.206, 0.413)
Al (0.350, 0.088, 0.212)
Al (0.650, 0.912, 0.788)

***

## Nd3Y4Al (GGA-PBE)

Data for a geometry-optimized Nd3Y4Al structure.

Results
As for the density of states at the Fermi level: 9.4 states/eV per cell. The energy comes out at -44.7 eV for the cell shown.

Cell lengths 3.598, 3.598, 19.349 Å; angles 90.00, 90.00, 90.00 degrees
Sites, in units of the cell vectors:
Y (0.000, 0.000, 0.904)
Y (0.000, 0.000, 0.096)
Y (0.000, 0.000, 0.366)
Y (0.000, 0.000, 0.634)
Nd (0.500, 0.500, 0.232)
Nd (0.500, 0.500, 0.500)
Nd (0.500, 0.500, 0.768)
Al (0.500, 0.500, 0.000)

***

## NdY5Al6 (GGA-PBE)

Data for a geometry-optimized NdY5Al6 structure.

Results
As for the density of states at the Fermi level: 4.7 states/eV per cell. The energy comes out at -64.4 eV for the cell shown.

Cell lengths 5.119, 7.276, 8.102 Å; angles 90.00, 71.59, 90.00 degrees
Sites, in units of the cell vectors:
Y (0.664, 0.500, 0.672)
Y (0.333, 0.000, 0.335)
Y (0.000, 0.500, 0.000)
Y (0.667, 0.000, 0.665)
Y (0.336, 0.500, 0.328)
Nd (0.000, 0.000, 0.000)
Al (0.831, 0.745, 0.339)
Al (0.831, 0.255, 0.339)
Al (0.500, 0.254, 0.000)
Al (0.500, 0.746, 0.000)
Al (0.169, 0.745, 0.661)
Al (0.169, 0.255, 0.661)

***

## NdYAl (GGA-PBE)

Data for a geometry-optimized NdYAl structure.

Results
As for the density of states at the Fermi level: 10.2 states/eV per cell. As for the energy above the most stable polymorph in this dataset: 0.2095 eV/atom.

Cell lengths 5.128, 5.128, 8.910 Å; angles 73.28, 73.28, 60.00 degrees
Sites, in units of the cell vectors:
Nd (0.124, 0.124, 0.629)
Nd (0.876, 0.876, 0.371)
Y (0.626, 0.626, 0.121)
Y (0.374, 0.374, 0.879)
Al (0.748, 0.748, 0.757)
Al (0.252, 0.252, 0.243)

***

## Nd4Y2Al (GGA-PBE)

Data for a geometry-optimized Nd4Y2Al structure.

Results
As for the density of states at the Fermi level: 10.1 states/eV per cell. The energy comes out at -35.9 eV for the cell shown.

Cell lengths 3.685, 3.685, 19.608 Å; angles 84.61, 84.61, 60.00 degrees
Sites, in units of the cell vectors:
Nd (0.706, 0.706, 0.882)
Nd (0.907, 0.907, 0.278)
Nd (0.294, 0.294, 0.118)
Nd (0.093, 0.093, 0.722)
Y (0.809, 0.809, 0.573)
Y (0.191, 0.191, 0.427)
Al (0.000, 0.000, 0.000)

***

## NdY5Al4 (GGA-PBE)

Data for a geometry-optimized NdY5Al4 structure.

Results
As for the density of states at the Fermi level: 7.9 states/eV per cell. The energy comes out at -55.4 eV for the cell shown.

Cell lengths 3.586, 3.586, 19.916 Å; angles 90.00, 90.00, 90.00 degrees
Sites, in units of the cell vectors:
Nd (0.000, 0.000, 0.000)
Y (0.500, 0.500, 0.134)
Y (0.500, 0.500, 0.317)
Y (0.500, 0.500, 0.500)
Y (0.500, 0.500, 0.683)
Y (0.500, 0.500, 0.866)
Al (0.000, 0.000, 0.224)
Al (0.000, 0.000, 0.408)
Al (0.000, 0.000, 0.592)
Al (0.000, 0.000, 0.776)

***

## Nd4Y3Al4 (GGA-PBE)

Data for a geometry-optimized Nd4Y3Al4 structure.

Results
As for the density of states at the Fermi level: 9.5 states/eV per cell. The energy comes out at -56.0 eV for the cell shown.

Cell lengths 3.555, 9.249, 10.647 Å; angles 115.74, 99.61, 90.00 degrees
Sites, in units of the cell vectors:
Nd (0.335, 0.159, 0.670)
Nd (0.665, 0.489, 0.330)
Nd (0.665, 0.841, 0.330)
Nd (0.335, 0.511, 0.670)
Y (0.093, 0.093, 0.186)
Y (0.907, 0.907, 0.814)
Y (0.000, 0.500, 0.000)
Al (0.277, 0.777, 0.554)
Al (0.723, 0.223, 0.446)
Al (0.500, 0.779, 0.000)
Al (0.500, 0.221, 0.000)

***

## Nd4YAl4 (GGA-PBE)

Data for a geometry-optimized Nd4YAl4 structure.

Results
As for the density of states at the Fermi level: 16.5 states/eV per cell. The energy comes out at -83.7 eV for the cell shown.

Cell lengths 6.054, 8.929, 8.929 Å; angles 90.00, 90.00, 90.00 degrees
Sites, in units of the cell vectors:
Nd (0.376, 0.425, 0.829)
Nd (0.876, 0.671, 0.925)
Nd (0.376, 0.575, 0.171)
Nd (0.124, 0.075, 0.671)
Nd (0.624, 0.829, 0.575)
Nd (0.124, 0.925, 0.329)
Nd (0.876, 0.329, 0.075)
Nd (0.624, 0.171, 0.425)
Y (0.000, 0.000, 0.000)
Y (0.500, 0.500, 0.500)
Al (0.604, 0.909, 0.187)
Al (0.604, 0.091, 0.813)
Al (0.104, 0.687, 0.591)
Al (0.896, 0.409, 0.687)
Al (0.896, 0.591, 0.313)
Al (0.396, 0.187, 0.091)
Al (0.396, 0.813, 0.909)
Al (0.104, 0.313, 0.409)

***

## Nd2YAl (GGA-PBE)

Data for a geometry-optimized Nd2YAl structure.

Results
As for the density of states at the Fermi level: 4.3 states/eV per cell. As for the energy above the most stable polymorph in this dataset: 0.0289 eV/atom.

Cell lengths 3.592, 3.592, 9.323 Å; angles 90.00, 90.00, 90.00 degrees
Sites, in units of the cell vectors:
Y (0.500, 0.500, 0.500)
Nd (0.000, 0.000, 0.786)
Nd (0.000, 0.000, 0.214)
Al (0.500, 0.500, 0.000)

***

## Nd2YAl (GGA-PBE)

Data for a geometry-optimized Nd2YAl structure.

Results
As for the density of states at the Fermi level: 6.7 states/eV per cell. As for the energy above the most stable polymorph in this dataset: 0.1247 eV/atom.

Cell lengths 5.475, 5.475, 5.475 Å; angles 60.00, 60.00, 60.00 degrees
Sites, in units of the cell vectors:
Y (0.000, 0.000, 0.000)
Nd (0.250, 0.250, 0.250)
Nd (0.750, 0.750, 0.750)
Al (0.500, 0.500, 0.500)

***

## NdY2Al6 (GGA-PBE)

Data for a geometry-optimized NdY2Al6 structure.

Results
As for the density of states at the Fermi level: 4.3 states/eV per cell. The energy comes out at -44.6 eV for the cell shown.

Cell lengths 3.559, 7.944, 7.944 Å; angles 120.00, 90.00, 90.00 degrees
Sites, in units of the cell vectors:
Nd (0.000, 0.000, 0.000)
Y (0.000, 0.333, 0.667)
Y (0.000, 0.667, 0.333)
Al (0.500, 0.335, 0.335)
Al (0.500, 0.665, 0.665)
Al (0.500, 0.000, 0.665)
Al (0.500, 0.665, 0.000)
Al (0.500, 0.335, 0.000)
Al (0.500, 0.000, 0.335)

***

## Nd2YAl (GGA-PBE)

Data for a geometry-optimized Nd2YAl structure.

Results
As for the density of states at the Fermi level: 4.8 states/eV per cell. As for the energy above the most stable polymorph in this dataset: 0.0174 eV/atom.

Cell lengths 4.788, 4.788, 6.036 Å; angles 113.36, 113.36, 90.00 degrees
Sites, in units of the cell vectors:
Nd (0.250, 0.750, 0.500)
Nd (0.750, 0.250, 0.500)
Y (0.500, 0.500, 0.000)
Al (0.000, 0.000, 0.000)

***

## NdY4Al5 (GGA-PBE)

Data for a geometry-optimized NdY4Al5 structure.

Results
As for the density of states at the Fermi level: 4.1 states/eV per cell. The energy comes out at -53.4 eV for the cell shown.

Cell lengths 3.626, 3.626, 18.192 Å; angles 90.00, 90.00, 90.00 degrees
Sites, in units of the cell vectors:
Nd (0.000, 0.000, 0.000)
Y (0.000, 0.000, 0.205)
Y (0.000, 0.000, 0.402)
Y (0.000, 0.000, 0.598)
Y (0.000, 0.000, 0.795)
Al (0.500, 0.500, 0.108)
Al (0.500, 0.500, 0.303)
Al (0.500, 0.500, 0.500)
Al (0.500, 0.500, 0.697)
Al (0.500, 0.500, 0.892)

***

## Nd2Y3Al3 (GGA-PBE)

Data for a geometry-optimized Nd2Y3Al3 structure.

Results
As for the density of states at the Fermi level: 5.3 states/eV per cell. The energy comes out at -42.5 eV for the cell shown.

Cell lengths 3.725, 5.158, 11.492 Å; angles 102.97, 99.33, 90.00 degrees
Sites, in units of the cell vectors:
Nd (0.272, 0.772, 0.543)
Nd (0.728, 0.228, 0.457)
Y (0.384, 0.384, 0.767)
Y (0.616, 0.616, 0.233)
Y (0.500, 0.000, 0.000)
Al (0.887, 0.887, 0.774)
Al (0.000, 0.500, 0.000)
Al (0.113, 0.113, 0.226)

***

## Nd3Y2Al3 (GGA-PBE)

Data for a geometry-optimized Nd3Y2Al3 structure.

Results
As for the density of states at the Fermi level: 9.6 states/eV per cell. The energy comes out at -40.3 eV for the cell shown.

Cell lengths 3.332, 8.625, 8.625 Å; angles 120.00, 90.00, 90.00 degrees
Sites, in units of the cell vectors:
Nd (0.000, 0.756, 0.756)
Nd (0.000, 0.244, 0.000)
Nd (0.000, 0.000, 0.244)
Y (0.000, 0.333, 0.667)
Y (0.000, 0.667, 0.333)
Al (0.500, 0.387, 0.387)
Al (0.500, 0.613, 0.000)
Al (0.500, 0.000, 0.613)

***

## Nd4YAl5 (GGA-PBE)

Data for a geometry-optimized Nd4YAl5 structure.

Results
As for the density of states at the Fermi level: 3.4 states/eV per cell. The energy comes out at -47.9 eV for the cell shown.

Cell lengths 3.704, 3.704, 18.525 Å; angles 90.00, 90.00, 90.00 degrees
Sites, in units of the cell vectors:
Nd (0.000, 0.000, 0.195)
Nd (0.000, 0.000, 0.399)
Nd (0.000, 0.000, 0.601)
Nd (0.000, 0.000, 0.805)
Y (0.000, 0.000, 0.000)
Al (0.500, 0.500, 0.092)
Al (0.500, 0.500, 0.297)
Al (0.500, 0.500, 0.500)
Al (0.500, 0.500, 0.703)
Al (0.500, 0.500, 0.908)

***

## NdY2Al (GGA-PBE)

Data for a geometry-optimized NdY2Al structure.

Results
As for the density of states at the Fermi level: 8.0 states/eV per cell. As for the energy above the most stable polymorph in this dataset: 0.0508 eV/atom.

Cell lengths 5.348, 6.241, 6.773 Å; angles 90.00, 90.00, 90.00 degrees
Sites, in units of the cell vectors:
Nd (0.000, 0.380, 0.500)
Nd (0.500, 0.620, 0.000)
Y (0.500, 0.158, 0.243)
Y (0.500, 0.158, 0.757)
Y (0.000, 0.842, 0.743)
Y (0.000, 0.842, 0.257)
Al (0.500, 0.682, 0.500)
Al (0.000, 0.318, 0.000)

***

## Nd3YAl2 (GGA-PBE)

Data for a geometry-optimized Nd3YAl2 structure.

Results
As for the density of states at the Fermi level: 11.7 states/eV per cell. The energy comes out at -59.6 eV for the cell shown.

Cell lengths 5.229, 6.714, 9.767 Å; angles 90.00, 90.00, 90.00 degrees
Sites, in units of the cell vectors:
Nd (0.000, 0.475, 0.957)
Nd (0.000, 0.975, 0.043)
Nd (0.500, 0.691, 0.177)
Nd (0.500, 0.191, 0.823)
Nd (0.000, 0.309, 0.330)
Nd (0.000, 0.809, 0.670)
Y (0.500, 0.523, 0.545)
Y (0.500, 0.023, 0.455)
Al (0.500, 0.707, 0.849)
Al (0.500, 0.207, 0.151)
Al (0.000, 0.294, 0.647)
Al (0.000, 0.794, 0.353)

***

## Nd4Y5Al (GGA-PBE)

Data for a geometry-optimized Nd4Y5Al structure.

Results
As for the density of states at the Fermi level: 13.2 states/eV per cell. The energy comes out at -55.8 eV for the cell shown.

Cell lengths 3.607, 3.607, 24.419 Å; angles 90.00, 90.00, 90.00 degrees
Sites, in units of the cell vectors:
Nd (0.000, 0.000, 0.183)
Nd (0.000, 0.000, 0.395)
Nd (0.000, 0.000, 0.605)
Nd (0.000, 0.000, 0.817)
Y (0.500, 0.500, 0.076)
Y (0.500, 0.500, 0.289)
Y (0.500, 0.500, 0.500)
Y (0.500, 0.500, 0.711)
Y (0.500, 0.500, 0.924)
Al (0.000, 0.000, 0.000)

***

## NdY5Al3 (GGA-PBE)

Data for a geometry-optimized NdY5Al3 structure.

Results
As for the density of states at the Fermi level: 21.4 states/eV per cell. The energy comes out at -101.6 eV for the cell shown.

Cell lengths 6.684, 9.165, 9.165 Å; angles 120.00, 90.00, 90.00 degrees
Sites, in units of the cell vectors:
Nd (0.000, 0.000, 0.000)
Nd (0.500, 0.000, 0.000)
Y (0.000, 0.667, 0.333)
Y (0.500, 0.333, 0.667)
Y (0.000, 0.333, 0.667)
Y (0.500, 0.667, 0.333)
Y (0.750, 0.669, 0.669)
Y (0.750, 0.000, 0.331)
Y (0.750, 0.331, 0.000)
Y (0.250, 0.331, 0.331)
Y (0.250, 0.000, 0.669)
Y (0.250, 0.669, 0.000)
Al (0.750, 0.340, 0.340)
Al (0.750, 0.000, 0.660)
Al (0.750, 0.660, 0.000)
Al (0.250, 0.660, 0.660)
Al (0.250, 0.000, 0.340)
Al (0.250, 0.340, 0.000)

***

## NdY2Al (GGA-PBE)

Data for a geometry-optimized NdY2Al structure.

Results
As for the density of states at the Fermi level: 6.5 states/eV per cell. As for the energy above the most stable polymorph in this dataset: 0.1953 eV/atom.

Cell lengths 5.421, 5.421, 5.421 Å; angles 60.00, 60.00, 60.00 degrees
Sites, in units of the cell vectors:
Y (0.250, 0.250, 0.250)
Y (0.750, 0.750, 0.750)
Nd (0.500, 0.500, 0.500)
Al (0.000, 0.000, 0.000)

***

## NdY2Al2 (GGA-PBE)

Data for a geometry-optimized NdY2Al2 structure.

Results
As for the density of states at the Fermi level: 13.8 states/eV per cell. As for the energy above the most stable polymorph in this dataset: 0.0000 eV/atom.

Cell lengths 3.707, 8.510, 8.510 Å; angles 90.00, 90.00, 90.00 degrees
Sites, in units of the cell vectors:
Nd (0.500, 0.500, 0.000)
Nd (0.500, 0.000, 0.500)
Y (0.000, 0.678, 0.322)
Y (0.000, 0.822, 0.822)
Y (0.000, 0.178, 0.178)
Y (0.000, 0.322, 0.678)
Al (0.500, 0.385, 0.385)
Al (0.500, 0.885, 0.115)
Al (0.500, 0.115, 0.885)
Al (0.500, 0.615, 0.615)

***

## NdY3Al2 (GGA-PBE)

Data for a geometry-optimized NdY3Al2 structure.

Results
As for the density of states at the Fermi level: 10.8 states/eV per cell. As for the energy above the most stable polymorph in this dataset: 0.0000 eV/atom.

Cell lengths 5.142, 6.605, 9.645 Å; angles 90.00, 90.00, 90.00 degrees
Sites, in units of the cell vectors:
Nd (0.500, 0.535, 0.543)
Nd (0.500, 0.035, 0.457)
Y (0.000, 0.468, 0.954)
Y (0.000, 0.968, 0.046)
Y (0.500, 0.681, 0.175)
Y (0.500, 0.181, 0.825)
Y (0.000, 0.319, 0.318)
Y (0.000, 0.819, 0.682)
Al (0.500, 0.707, 0.858)
Al (0.500, 0.207, 0.142)
Al (0.000, 0.291, 0.647)
Al (0.000, 0.791, 0.353)